Compound: Pr5Te5P
Source: the Alexandria database
Functional: PBE
Structure: relaxed

Its density is 6.1 g cm⁻³. The uncorrected energy is -61.35 eV per cell. As for the uncorrected formation energy: -1.485 eV per atom. As for the space group: C2/m, No. 12.

Cell: 7.740 7.740 8.885 Å, 107.11 107.11 48.28°
Element x y z (fractional)
Pr: 0.000 0.000 0.000
Pr: 0.344 0.344 0.157
Pr: 0.345 0.345 0.685
Pr: 0.655 0.655 0.315
Pr: 0.656 0.656 0.843
Te: 0.163 0.163 0.823
Te: 0.171 0.171 0.336
Te: 0.500 0.500 0.500
Te: 0.829 0.829 0.664
Te: 0.837 0.837 0.177
P: 0.500 0.500 0.000

=====

Compound: CoReAs2
Source: the Alexandria database
Functional: PBE
Structure: relaxed

Its density is 11.3 g cm⁻³. Its distance to the lowest polymorph of the same formula is 126 meV per atom. The uncorrected energy is -28.04 eV per cell. Its formation energy is 0.204 eV/atom. As for the space group: R-3m, No. 166.

Cell: 7.652 7.652 7.652 Å, 22.58 22.58 22.58°
Element x y z (fractional)
Co: 0.000 0.000 0.000
Re: 0.500 0.500 0.500
As: 0.253 0.253 0.253
As: 0.747 0.747 0.747

=====

Compound: LaTa2P
Source: the Alexandria database
Functional: PBE
Structure: relaxed

Its density is 10.9 g cm⁻³. The uncorrected energy is -33.04 eV per cell. Its formation energy is 0.251 eV/atom. As for the space group: P4/mmm, No. 123.

Cell: 4.136 4.136 4.755 Å, 90.00 90.00 90.00°
Element x y z (fractional)
La: 0.000 0.000 0.000
Ta: 0.000 0.500 0.500
Ta: 0.500 0.000 0.500
P: 0.500 0.500 0.000

=====

Compound: Er2Cd8Hg
Source: the Alexandria database
Functional: PBE
Structure: relaxed

Its density is 9.0 g cm⁻³. The uncorrected energy is -18.59 eV per cell. Its formation energy is -0.167 eV/atom. As for the space group: P4/mmm, No. 123.

Cell: 4.619 4.619 12.472 Å, 90.00 90.00 90.00°
Element x y z (fractional)
Er: 0.000 0.000 0.185
Er: 0.000 0.000 0.815
Cd: 0.000 0.500 0.000
Cd: 0.000 0.500 0.359
Cd: 0.000 0.500 0.641
Cd: 0.500 0.000 0.000
Cd: 0.500 0.000 0.359
Cd: 0.500 0.000 0.641
Cd: 0.500 0.500 0.185
Cd: 0.500 0.500 0.815
Hg: 0.000 0.000 0.500

=====

Compound: Sr2CdBr
Source: the Alexandria database
Functional: PBE
Structure: relaxed

Its density is 4.2 g cm⁻³. Its distance to the lowest polymorph of the same formula is 84 meV per atom. The uncorrected energy is -9.11 eV per cell. As for the uncorrected formation energy: -0.790 eV per atom. As for the space group: Cm, No. 8.

Cell: 6.858 6.858 5.484 Å, 90.00 90.00 34.00°
Element x y z (fractional)
Sr: 0.000 0.000 0.000
Sr: 0.741 0.741 0.501
Cd: 0.269 0.269 0.001
Br: 0.500 0.500 0.500

=====

Compound: Tb6In5Ga
Source: the Alexandria database
Functional: PBE
Structure: relaxed

Its density is 8.4 g cm⁻³. The uncorrected energy is -50.34 eV per cell. Its formation energy is -0.487 eV/atom. As for the space group: Cmmm, No. 65.

Cell: 8.383 8.383 7.474 Å, 90.00 90.00 143.14°
Element x y z (fractional)
Tb: 0.000 0.000 0.242
Tb: 0.000 0.000 0.758
Tb: 0.337 0.663 0.247
Tb: 0.337 0.663 0.753
Tb: 0.663 0.337 0.247
Tb: 0.663 0.337 0.753
In: 0.168 0.832 0.500
In: 0.170 0.830 0.000
In: 0.500 0.500 0.500
In: 0.830 0.170 0.000
In: 0.832 0.168 0.500
Ga: 0.500 0.500 0.000

=====

Compound: MgAlPb2
Source: the Alexandria database
Functional: PBE
Structure: relaxed

Its density is 7.5 g cm⁻³. Its distance to the lowest polymorph of the same formula is 31 meV per atom. The uncorrected energy is -12.31 eV per cell. Its formation energy is 0.111 eV/atom. As for the space group: P2/m, No. 10.

Cell: 3.500 4.261 6.887 Å, 90.00 91.67 90.00°
Element x y z (fractional)
Mg: 0.000 0.000 0.000
Al: 0.000 0.000 0.500
Pb: 0.497 0.500 0.746
Pb: 0.503 0.500 0.254

=====

Compound: TaRe2Mo
Source: the Alexandria database
Functional: PBE
Structure: relaxed

Its density is 16.9 g cm⁻³. Its distance to the lowest polymorph of the same formula is 0 meV per atom. The uncorrected energy is -48.19 eV per cell. Its formation energy is -0.152 eV/atom. As for the space group: P4/mmm, No. 123.

Cell: 3.163 3.163 6.365 Å, 90.00 90.00 90.00°
Element x y z (fractional)
Ta: 0.000 0.000 0.000
Re: 0.500 0.500 0.252
Re: 0.500 0.500 0.748
Mo: 0.000 0.000 0.500